# CePuGaAu

CePuGaAu after structural relaxation (PBE, Alexandria).

Cell: 7.3058 7.3058 7.3058 Å, 90.00 90.00 90.00°
With the nearest neighbours (Å) after each atom.
Atoms (fractional coordinates):
Ce 0.0000 0.0000 0.0000  4 Ga 3.16, 4 Au 3.16
Ce 0.0000 0.5000 0.5000  4 Ga 3.16, 4 Au 3.16
Ce 0.5000 0.0000 0.5000  4 Ga 3.16, 4 Au 3.16
Ce 0.5000 0.5000 0.0000  4 Ga 3.16, 4 Au 3.16
Pu 0.0000 0.0000 0.5000  4 Ga 3.16, 4 Au 3.16
Pu 0.0000 0.5000 0.0000  4 Ga 3.16, 4 Au 3.16
Pu 0.5000 0.0000 0.0000  4 Ga 3.16, 4 Au 3.16
Pu 0.5000 0.5000 0.5000  4 Au 3.16, 4 Ga 3.16
Ga 0.2500 0.2500 0.2500  4 Ce 3.16, 4 Pu 3.16
Ga 0.2500 0.7500 0.7500  4 Ce 3.16, 4 Pu 3.16
Ga 0.7500 0.2500 0.7500  4 Ce 3.16, 4 Pu 3.16
Ga 0.7500 0.7500 0.2500  4 Ce 3.16, 4 Pu 3.16
Au 0.2500 0.2500 0.7500  4 Ce 3.16, 4 Pu 3.16
Au 0.2500 0.7500 0.2500  4 Ce 3.16, 4 Pu 3.16
Au 0.7500 0.2500 0.2500  4 Ce 3.16, 4 Pu 3.16
Au 0.7500 0.7500 0.7500  4 Pu 3.16, 4 Ce 3.16

Results
Energy above the lowest structure with this stoichiometry in eV per formula unit: 0.191
Spin magnetization in μB per cell: 26.22
Uncorrected energy in eV/atom: -7.04
Energy relative to the elements in meV per atom: -397